# 1
Below is a relaxed RbRu3W crystal, with properties calculated at the GGA-PBE level.

Output
Offset from the most stable computed form ... 0.000 eV/atom

Cell lengths 4.851, 4.851, 4.851 Å; angles 90.00, 90.00, 90.00 degrees
Last column: magnetic moment on the atom in μB.
Element x y z (fractional)
1 Ru 0.000 0.500 0.000  0.98
2 Ru 0.000 0.000 0.500  1.07
3 Ru 0.500 0.000 0.000  0.63
4 Rb 0.500 0.500 0.500  0.00
5 W 0.000 0.000 0.000  -0.25

# 2
Below is a relaxed Nd2MgBe crystal, with properties calculated at the GGA-PBE level.

Output
Offset from the most stable computed form ... 0.667 eV/atom

Cell lengths 3.382, 3.382, 11.694 Å; angles 81.69, 81.69, 60.00 degrees
Element x y z (fractional)
1 Be 0.000 0.000 0.000
2 Mg 0.500 0.500 0.500
3 Nd 0.087 0.087 0.740
4 Nd 0.913 0.913 0.260

# 3
Below is a relaxed Ba2CdOsPb crystal, with properties calculated at the GGA-PBE level.

Cell lengths 6.364, 6.364, 5.201 Å; angles 90.00, 90.00, 90.00 degrees
Last column: magnetic moment on the atom in μB.
Element x y z (fractional)
1 Pb 0.000 0.000 0.000  0.02
2 Os 0.500 0.500 0.500  2.10
3 Ba 0.000 0.500 0.000  -0.04
4 Ba 0.500 0.000 0.000  -0.04
5 Cd 0.000 0.000 0.500  -0.01

# 4
Below is a relaxed Ti6AlZn crystal, with properties calculated at the GGA-PBE level.

Cell lengths 4.032, 4.032, 8.054 Å; angles 90.00, 90.00, 90.00 degrees
Element x y z (fractional)
1 Ti 0.500 0.500 0.000
2 Ti 0.500 0.500 0.500
3 Ti 0.500 0.000 0.250
4 Ti 0.500 0.000 0.750
5 Ti 0.000 0.500 0.250
6 Ti 0.000 0.500 0.750
7 Al 0.000 0.000 0.000
8 Zn 0.000 0.000 0.500

# 5
Below is a relaxed Mn2VInPb crystal, with properties calculated at the GGA-PBE level.

Cell lengths 4.621, 5.273, 4.621 Å; angles 90.00, 90.00, 90.00 degrees
Last column: magnetic moment on the atom in μB.
Element x y z (fractional)
1 Pb 0.500 0.500 0.500  0.01
2 V 0.000 0.000 0.000  -1.81
3 Mn 0.000 0.000 0.500  3.21
4 Mn 0.500 0.000 0.000  3.42
5 In 0.000 0.500 0.000  0.00

# 6
Below is a relaxed LaSc2HRh crystal, with properties calculated at the GGA-PBE level.

Cell lengths 5.440, 4.736, 5.440 Å; angles 90.00, 90.00, 90.00 degrees
Element x y z (fractional)
1 Sc 0.000 0.000 0.500
2 Sc 0.500 0.000 0.000
3 H 0.500 0.500 0.500
4 Rh 0.000 0.500 0.000
5 La 0.000 0.000 0.000

# 7
Below is a relaxed ZrNb2GaAs crystal, with properties calculated at the GGA-PBE level.

Cell lengths 4.798, 4.748, 4.798 Å; angles 90.00, 90.00, 90.00 degrees
Element x y z (fractional)
1 Nb 0.000 0.000 0.500
2 Nb 0.500 0.000 0.000
3 Ga 0.000 0.500 0.000
4 As 0.000 0.000 0.000
5 Zr 0.500 0.500 0.500

# 8
Below is a relaxed YLuSc crystal, with properties calculated at the GGA-PBE level.

Output
Offset from the most stable computed form ... 0.027 eV/atom

Cell lengths 3.395, 5.408, 5.408 Å; angles 120.00, 90.00, 90.00 degrees
Element x y z (fractional)
1 Y 0.667 0.667 0.333
2 Sc 0.167 0.333 0.667
3 Lu 0.166 0.000 0.000

# 9
Below is a relaxed Sr2SbTe crystal, with properties calculated at the GGA-PBE level.

Output
Offset from the most stable computed form ... 0.213 eV/atom

Cell lengths 8.770, 8.770, 7.339 Å; angles 53.31, 53.31, 90.00 degrees
Element x y z (fractional)
1 Sb 0.500 0.500 0.000
2 Sb 0.250 0.750 0.500
3 Te 0.000 0.000 0.000
4 Te 0.750 0.250 0.500
5 Sr 0.626 0.125 0.250
6 Sr 0.124 0.625 0.250
7 Sr 0.375 0.374 0.750
8 Sr 0.875 0.876 0.750

# 10
Below is a relaxed MgNi2S crystal, with properties calculated at the GGA-PBE level.

Output
Offset from the most stable computed form ... 0.212 eV/atom

Cell lengths 4.157, 4.157, 4.157 Å; angles 60.00, 60.00, 60.00 degrees
Element x y z (fractional)
1 Ni 0.250 0.250 0.250
2 Ni 0.750 0.750 0.750
3 S 0.500 0.500 0.500
4 Mg 0.000 0.000 0.000

# 11
Below is a relaxed NdCuPb2 crystal, with properties calculated at the GGA-PBE level.

Output
Offset from the most stable computed form ... 0.402 eV/atom

Cell lengths 3.546, 3.546, 10.688 Å; angles 80.45, 80.45, 60.00 degrees
Element x y z (fractional)
1 Pb 0.104 0.104 0.689
2 Pb 0.896 0.896 0.311
3 Nd 0.000 0.000 0.000
4 Cu 0.500 0.500 0.500

# 12
Below is a relaxed Ca2BeGaO crystal, with properties calculated at the GGA-PBE level.

Cell lengths 5.835, 3.065, 5.835 Å; angles 90.00, 90.00, 90.00 degrees
Element x y z (fractional)
1 Be 0.000 0.000 0.000
2 Ca 0.000 0.000 0.500
3 Ca 0.500 0.000 0.000
4 O 0.000 0.500 0.000
5 Ga 0.500 0.500 0.500

no.,E (eV per atom)
1,-6.834
2,-3.011
3,-2.776
4,-6.735
5,-5.985
6,-4.265
7,-6.730
8,-5.693
9,-3.659
10,-4.289
11,-3.869
12,-3.719